(1)
ThAlIr2 after structural relaxation. Source: Alexandria, functional PBE-GGA.

Lattice parameters (Å, degrees): 4.2327 4.2327 15.1559 90.00 90.00 120.00
Space group R-3m (No. 166, hexagonal axes)
One atom of each set of equivalent atoms:
Th: 0.0000 0.0000 0.0000 (multiplicity 3)
Al: 0.0000 0.0000 0.5000 (multiplicity 3)
Ir: 0.0000 0.0000 0.2164 (multiplicity 6)

## Properties
The value obtained for the calculated total energy is -8.062 eV per atom. As for the density of states at the Fermi level: 0.28 states/eV/atom. For the volume, the calculation gives 235.15 Å³ per cell.

=====

(2)
Th3Al4Ir4 after structural relaxation. Source: Alexandria, functional PBE-GGA.

Lattice parameters (Å, degrees): 4.0411 7.5090 14.3488 90.00 90.00 90.00
Space group Immm (No. 71)
One atom of each set of equivalent atoms:
Th: 0.0000 0.0000 0.0000 (multiplicity 2)
Th: 0.0000 0.5000 0.1198 (multiplicity 4)
Al: 0.0000 0.3061 0.3217 (multiplicity 8)
Ir: 0.0000 0.0000 0.2243 (multiplicity 4)
Ir: 0.0000 0.2174 0.5000 (multiplicity 4)

## Properties
The value obtained for the calculated total energy is -7.557 eV per atom. As for the density of states at the Fermi level: 0.55 states/eV/atom. For the volume, the calculation gives 435.41 Å³ per cell.

=====

(3)
ThAl11Ir after structural relaxation. Source: Alexandria, functional PBE-GGA.

Lattice parameters (Å, degrees): 5.2251 12.6276 7.2438 90.00 110.30 90.00
Space group C2/m (No. 12)
One atom of each set of equivalent atoms:
Th: 0.0000 0.0000 0.0000 (multiplicity 2)
Al: 0.0000 0.0000 0.5000 (multiplicity 2)
Al: 0.1097 0.3909 0.2265 (multiplicity 8)
Al: 0.1843 0.1748 0.3589 (multiplicity 8)
Al: 0.2500 0.2500 0.0000 (multiplicity 4)
Ir: 0.0000 0.5000 0.5000 (multiplicity 2)

## Properties
The value obtained for the calculated total energy is -4.713 eV per atom. As for the density of states at the Fermi level: 0.48 states/eV/atom. For the volume, the calculation gives 448.25 Å³ per cell.

=====

(4)
ThAlIr after structural relaxation. Source: Alexandria, functional PBE-GGA.

Lattice parameters (Å, degrees): 7.1922 7.1922 4.1788 90.00 90.00 120.00
Space group P-62m (No. 189)
One atom of each set of equivalent atoms:
Th: 0.0000 0.4188 0.0000 (multiplicity 3)
Al: 0.0000 0.7706 0.5000 (multiplicity 3)
Ir: 0.0000 0.0000 0.0000 (multiplicity 1)
Ir: 0.3333 0.6667 0.5000 (multiplicity 2)

## Properties
The value obtained for the calculated total energy is -7.641 eV per atom. As for the density of states at the Fermi level: 0.53 states/eV/atom. For the volume, the calculation gives 187.20 Å³ per cell.

=====

| no. | energy relative to the elements (eV per atom) |
| --- | --- |
| 1 | -0.841 |
| 2 | -0.950 |
| 3 | -0.294 |
| 4 | -0.966 |